First-principles (PBE-GGA) data for a relaxed structure of ZnCdRu2, as listed in the Alexandria database.

Geometry as POSCAR:
```
ZnCdRu2
1.0
-1.4241 -0.1792 -4.4693
0.8465 -1.8949 -4.2104
-2.9865 -3.9005 0.3429
Cd Ru Zn
1 2 1
direct
0.2513 0.2513 0.2663
0.0068 0.0068 0.9574
0.7476 0.7476 0.7737
0.4943 0.4943 0.5026
```

As for the calculated volume: 15.5 Å³/atom. Its crystal system is monoclinic. Its density of states at the Fermi level is 3.93 states/eV/f.u. The total energy is -19.9 eV/cell. Its calculated formation energy is 0.22 eV/atom.

***

First-principles (PBE-GGA) data for a relaxed structure of Pm7Sm4Ho, as listed in the Alexandria database.

Geometry as POSCAR:
```
Pm7Sm4Ho
1.0
7.0186 1.8641 0.8962
5.2414 7.7358 2.4867
-1.0431 -0.4488 8.9886
Pm Sm Ho
7 4 1
direct
0.7496 0.5001 0.0002
0.2504 0.4999 0.9998
0.9701 0.2794 0.6686
0.0299 0.7206 0.3314
0.2204 0.7799 0.6674
0.5000 0.0000 0.0000
0.7796 0.2201 0.3326
0.5283 0.7210 0.3310
0.4717 0.2790 0.6690
0.7216 0.7786 0.6671
0.2784 0.2214 0.3329
0.0000 0.0000 0.0000
```

As for the calculated volume: 34.0 Å³/atom. Its crystal system is triclinic. Its density of states at the Fermi level is 16.81 states/eV/f.u. The total energy is -56.6 eV/cell. Its calculated formation energy is 0.01 eV/atom.

***

First-principles (PBE-GGA) data for a relaxed structure of LaTi2PtC, as listed in the Alexandria database.

Geometry as POSCAR:
```
LaTi2PtC
1.0
-1.5540 -3.8639 0.5314
2.7637 -0.5059 4.4027
-3.2057 1.5912 2.1951
C Ti Pt La
1 2 1 1
direct
0.0000 0.0000 0.0000
0.0000 0.0000 0.5000
0.5000 0.0000 0.0000
0.5000 0.5000 0.5000
0.0000 0.5000 0.0000
```

As for the calculated volume: 18.4 Å³/atom. Its crystal system is tetragonal. Its density of states at the Fermi level is 5.31 states/eV/f.u. The total energy is -38.0 eV/cell. Its calculated formation energy is -0.41 eV/atom.

***

First-principles (PBE-GGA) data for a relaxed structure of Rb2LiSi2, as listed in the Alexandria database.

Geometry as POSCAR:
```
Rb2LiSi2
1.0
-2.3807 -4.4228 -1.0152
0.4308 -1.3616 4.9214
-7.1809 0.1316 3.3329
Si Rb Li
2 2 1
direct
0.4225 0.4225 0.1551
0.5775 0.5775 0.8449
0.7500 0.2500 0.5000
0.2500 0.7500 0.5000
0.0000 0.0000 0.0000
```

As for the calculated volume: 37.0 Å³/atom. Its crystal system is tetragonal. Its density of states at the Fermi level is 3.21 states/eV/f.u. The value obtained for the formation energy from raw total energies is 0.397 eV per atom. The total energy is -12.7 eV/cell.

***

First-principles (PBE-GGA) data for a relaxed structure of Pm3Ga2Au3, as listed in the Alexandria database.

Geometry as POSCAR:
```
Pm3Ga2Au3
1.0
3.9684 0.0000 0.0000
0.0000 5.3253 -0.6053
-1.9842 -2.7988 9.1961
Pm Ga Au
3 2 3
direct
0.8535 0.2801 0.7069
0.1465 0.7199 0.2931
0.0000 0.0000 0.0000
0.7626 0.6826 0.5253
0.2374 0.3174 0.4747
0.3667 0.8109 0.7334
0.5000 0.5000 0.0000
0.6333 0.1891 0.2666
```

As for the calculated volume: 23.5 Å³/atom. Its crystal system is monoclinic. Its density of states at the Fermi level is 5.73 states/eV/f.u. The total energy is -35.3 eV/cell. Its calculated formation energy is -0.65 eV/atom.

***

First-principles (PBE-GGA) data for a relaxed structure of Mg2CrAgC, as listed in the Alexandria database.

Geometry as POSCAR:
```
Mg2CrAgC
1.0
-0.7798 2.6925 -4.3793
-2.3039 -2.6473 -1.2174
-4.0034 2.4606 2.2257
Cr Mg C Ag
1 2 1 1
direct
0.0000 0.0000 0.0000
0.0000 0.0000 0.5000
0.5000 0.0000 0.0000
0.0000 0.5000 0.0000
0.5000 0.5000 0.5000
```

As for the calculated volume: 20.1 Å³/atom. Its crystal system is tetragonal. Its density of states at the Fermi level is 4.00 states/eV/f.u. The total energy is -20.4 eV/cell. Its calculated formation energy is 0.90 eV/atom.

***

First-principles (PBE-GGA) data for a relaxed structure of CrIr2, as listed in the Alexandria database.

Geometry as POSCAR:
```
CrIr2
1.0
-2.2675 -1.2364 -5.1758
0.9469 -5.6300 0.9301
-5.2365 -0.4826 2.4094
Cr Ir
4 8
direct
0.0000 0.0000 0.0000
0.0000 0.5000 0.5000
0.5000 0.0000 0.5000
0.5000 0.5000 0.0000
0.1226 0.6226 0.8774
0.1226 0.8774 0.3774
0.3774 0.1226 0.8774
0.3774 0.3774 0.3774
0.6226 0.6226 0.6226
0.6226 0.8774 0.1226
0.8774 0.1226 0.6226
0.8774 0.3774 0.1226
```

As for the calculated volume: 16.1 Å³/atom. Its crystal system is cubic. Its density of states at the Fermi level is 3.53 states/eV/f.u. The total energy is -100.9 eV/cell. Its calculated formation energy is 0.71 eV/atom.

***

First-principles (PBE-GGA) data for a relaxed structure of In2TcNi, as listed in the Alexandria database.

Geometry as POSCAR:
```
In2TcNi
1.0
-4.8951 -0.7252 2.6511
-0.2591 -0.7671 5.5552
1.5590 3.2786 -4.2821
In Ni Tc
2 1 1
direct
0.0103 0.0103 0.0000
0.7286 0.2286 0.5000
0.4857 0.4857 0.0000
0.2754 0.7754 0.5000
```

As for the calculated volume: 17.1 Å³/atom. Its crystal system is orthorhombic. Its density of states at the Fermi level is 4.63 states/eV/f.u. The total energy is -20.8 eV/cell. Its calculated formation energy is 0.22 eV/atom.

***

First-principles (PBE-GGA) data for a relaxed structure of YGePS2, as listed in the Alexandria database.

Geometry as POSCAR:
```
YGePS2
1.0
-1.3168 1.2179 -4.3736
-0.6302 -4.5588 -1.0797
-4.4582 0.2800 1.4203
Y P Ge S
1 1 1 2
direct
0.5000 0.5000 0.5000
0.0000 0.0000 0.5000
0.0000 0.0000 0.0000
0.0000 0.5000 0.0000
0.5000 0.0000 0.0000
```

As for the calculated volume: 20.9 Å³/atom. Its crystal system is tetragonal. Its density of states at the Fermi level is 2.52 states/eV/f.u. The value obtained for the formation energy from raw total energies is -0.334 eV per atom. The total energy is -26.4 eV/cell.

***

First-principles (PBE-GGA) data for a relaxed structure of Ti6SbAs3, as listed in the Alexandria database.

Geometry as POSCAR:
```
Ti6SbAs3
1.0
-5.9986 -2.3418 1.4078
1.3587 -6.1025 -4.3617
2.3006 -1.6361 7.0811
Ti Sb As
12 2 6
direct
0.1538 0.7228 0.6223
0.6538 0.6223 0.7228
0.2752 0.4928 0.9386
0.7752 0.9386 0.4928
0.2458 0.9950 0.0050
0.5841 0.2502 0.7498
0.0841 0.7498 0.2502
0.7458 0.0050 0.9950
0.2752 0.0614 0.5072
0.7752 0.5072 0.0614
0.1538 0.3777 0.2772
0.6538 0.2772 0.3777
0.9915 0.1919 0.8081
0.4915 0.8081 0.1919
0.4806 0.9113 0.7104
0.9806 0.7104 0.9113
0.3448 0.4183 0.5817
0.8448 0.5817 0.4183
0.9806 0.0887 0.2896
0.4806 0.2896 0.0887
```

As for the calculated volume: 18.2 Å³/atom. Its crystal system is orthorhombic. Its density of states at the Fermi level is 8.90 states/eV/f.u. The value obtained for the formation energy from raw total energies is -0.653 eV per atom. The total energy is -143.9 eV/cell.

***

First-principles (PBE-GGA) data for a relaxed structure of Bi2IrOs2, as listed in the Alexandria database.

Geometry as POSCAR:
```
Bi2IrOs2
1.0
6.7958 0.0000 0.0000
0.0000 6.7958 0.0000
0.0000 0.0000 4.4039
Ir Os Bi
2 4 4
direct
0.0000 0.0000 0.0000
0.5000 0.5000 0.0000
0.3732 0.8732 0.0000
0.8732 0.6268 0.0000
0.6268 0.1268 0.0000
0.1268 0.3732 0.0000
0.1814 0.6814 0.5000
0.6814 0.8186 0.5000
0.8186 0.3186 0.5000
0.3186 0.1814 0.5000
```

As for the calculated volume: 20.3 Å³/atom. Its crystal system is tetragonal. Its density of states at the Fermi level is 5.09 states/eV/f.u. The total energy is -70.0 eV/cell. Its calculated formation energy is 0.81 eV/atom.

***

First-principles (PBE-GGA) data for a relaxed structure of CsSrTl3, as listed in the Alexandria database.

Geometry as POSCAR:
```
CsSrTl3
1.0
6.4222 0.0000 0.0000
0.0000 6.4222 0.0000
0.0000 0.0000 6.4222
Cs Sr Tl
1 1 3
direct
0.0000 0.0000 0.0000
0.5000 0.5000 0.5000
0.0000 0.5000 0.0000
0.0000 0.0000 0.5000
0.5000 0.0000 0.0000
```

As for the calculated volume: 53.0 Å³/atom. Its crystal system is cubic. Its density of states at the Fermi level is 6.31 states/eV/f.u. The total energy is -6.8 eV/cell. Its calculated formation energy is 0.57 eV/atom.

***

The highest density of states at the Fermi level belongs to which entry? Pm7Sm4Ho

***

The highest density of states at the Fermi level belongs to which entry? Pm7Sm4Ho